No. 1
{"formula": "Sr2AsCl", "functional": "PBE", "state": "optimized geometry", "lattice_angstrom": [[-1.8162, 2.2004, -4.5570], [-2.9126, -4.4325, -0.9795], [-2.9635, 1.5237, 1.9169]], "species": ["Sr", "Sr", "As", "Cl"], "frac_coords": [[0.0000, 0.0000, 0.0000], [0.5000, 0.5000, 0.0000], [0.5000, 0.0000, 0.5000], [0.0000, 0.5000, 0.5000]], "spacegroup": "Pmmm, No. 47", "formation_energy_uncorrected_mev_per_atom": -1414}

=====

No. 2
{"formula": "Rb2AgMoSe4", "functional": "PBE", "state": "optimized geometry", "lattice_angstrom": [[-5.5513, -2.3907, -0.1788], [0.0341, -7.7374, 0.1490], [-3.2746, -0.9598, 12.2529]], "species": ["Rb", "Rb", "Rb", "Rb", "Ag", "Ag", "Mo", "Mo", "Se", "Se", "Se", "Se", "Se", "Se", "Se", "Se"], "frac_coords": [[0.1805, 0.0000, 0.6390], [0.8195, 0.0000, 0.3610], [0.5695, 0.5000, 0.8610], [0.9305, 0.5000, 0.1390], [0.7500, 0.5000, 0.5000], [0.0000, 0.0000, 0.0000], [0.2500, 0.5000, 0.5000], [0.5000, 0.0000, 0.0000], [0.3258, 0.7993, 0.1154], [0.2405, 0.2007, 0.8846], [0.8749, 0.7993, 0.8846], [0.5588, 0.2007, 0.1154], [0.4242, 0.7007, 0.3846], [0.5095, 0.2993, 0.6154], [0.8751, 0.7007, 0.6154], [0.1912, 0.2993, 0.3846]], "spacegroup": "Fddd, No. 70", "formation_energy_uncorrected_mev_per_atom": -681}

=====

No. 3
{"formula": "Ga2NiPt", "functional": "PBE", "state": "optimized geometry", "lattice_angstrom": [[-3.0796, -2.0005, -4.1598], [2.5926, -4.8870, 0.4308], [-4.0200, -5.1293, 1.7420]], "species": ["Ni", "Ni", "Ga", "Ga", "Ga", "Ga", "Pt", "Pt"], "frac_coords": [[0.5000, 0.5000, 0.0000], [0.2500, 0.7500, 0.5000], [0.6087, 0.1250, 0.2500], [0.1413, 0.6250, 0.2500], [0.3750, 0.3913, 0.7500], [0.8750, 0.8587, 0.7500], [0.0000, 0.0000, 0.0000], [0.7500, 0.2500, 0.5000]], "spacegroup": "I-42d, No. 122", "e_form_ev_per_atom": 0.1062}

=====

No. 4
{"formula": "ErPt2Pb", "functional": "PBE", "state": "optimized geometry", "lattice_angstrom": [[-3.0250, -0.8053, 1.6897], [1.7338, -2.4156, 1.9526], [1.3233, 4.6601, 4.5900]], "species": ["Pb", "Pt", "Pt", "Er"], "frac_coords": [[0.5000, 0.5000, 0.5000], [0.0000, 0.0000, 0.7734], [0.0000, 0.0000, 0.2266], [0.5000, 0.5000, 0.0000]], "spacegroup": "P4/mmm, No. 123", "e_form_ev_per_atom": -0.7584}

=====

No. 5
{"formula": "Nd2Dy2Ho15", "functional": "PBE", "state": "optimized geometry", "lattice_angstrom": [[-3.8904, -5.3639, 5.6343], [0.0803, -7.3611, -4.6326], [6.9808, -3.8726, 3.4532]], "species": ["Nd", "Nd", "Dy", "Dy", "Ho", "Ho", "Ho", "Ho", "Ho", "Ho", "Ho", "Ho", "Ho", "Ho", "Ho", "Ho", "Ho", "Ho", "Ho"], "frac_coords": [[0.6724, 0.6724, 0.6724], [0.3276, 0.3276, 0.3276], [0.9030, 0.9030, 0.9030], [0.0970, 0.0970, 0.0970], [0.0000, 0.5000, 0.0000], [0.0000, 0.0000, 0.5000], [0.5000, 0.0000, 0.0000], [0.2982, 0.0000, 0.7018], [0.7018, 0.2982, 0.0000], [0.0000, 0.7018, 0.2982], [0.2982, 0.7018, 0.0000], [0.0000, 0.2982, 0.7018], [0.7018, 0.0000, 0.2982], [0.3675, 0.8515, 0.3675], [0.3675, 0.3675, 0.8515], [0.8515, 0.3675, 0.3675], [0.6325, 0.1485, 0.6325], [0.6325, 0.6325, 0.1485], [0.1485, 0.6325, 0.6325]], "spacegroup": "R-3m, No. 166", "e_form_ev_per_atom": 0.2802}

=====

No. 6
{"formula": "RuPbBr6", "functional": "PBE", "state": "optimized geometry", "lattice_angstrom": [[6.6745, -0.0661, -1.9241], [-2.0857, 6.3405, -1.9241], [0.0616, 0.0842, 7.3937]], "species": ["Ru", "Pb", "Br", "Br", "Br", "Br", "Br", "Br"], "frac_coords": [[0.0000, 0.0000, 0.0000], [0.0000, 0.0000, 0.5000], [0.2934, 0.9660, 0.2637], [0.9660, 0.2934, 0.2637], [0.0340, 0.7066, 0.7363], [0.7066, 0.0340, 0.7363], [0.2614, 0.2614, 0.9361], [0.7386, 0.7386, 0.0639]], "spacegroup": "C2/m, No. 12", "formation_energy_uncorrected_mev_per_atom": -453}

=====

No. 7
{"formula": "NaSrGe", "functional": "PBE", "state": "optimized geometry", "lattice_angstrom": [[5.2887, 0.0000, 0.0000], [-2.6444, 4.5802, 0.0000], [0.0000, 0.0000, 22.4019]], "species": ["Na", "Na", "Na", "Na", "Na", "Na", "Ge", "Ge", "Ge", "Ge", "Ge", "Ge", "Sr", "Sr", "Sr", "Sr", "Sr", "Sr"], "frac_coords": [[0.0000, 0.0000, 0.2444], [0.3333, 0.6667, 0.9111], [0.6667, 0.3333, 0.5778], [0.0000, 0.0000, 0.4070], [0.3333, 0.6667, 0.0736], [0.6667, 0.3333, 0.7403], [0.0000, 0.0000, 0.9600], [0.3333, 0.6667, 0.6267], [0.6667, 0.3333, 0.2933], [0.0000, 0.0000, 0.0836], [0.3333, 0.6667, 0.7503], [0.6667, 0.3333, 0.4170], [0.0000, 0.0000, 0.8254], [0.3333, 0.6667, 0.4921], [0.6667, 0.3333, 0.1587], [0.0000, 0.0000, 0.6624], [0.3333, 0.6667, 0.3291], [0.6667, 0.3333, 0.9958]], "spacegroup": "R3m, No. 160", "e_form_ev_per_atom": -0.2799}

=====

No. 8
{"formula": "Na3Rh", "functional": "PBE", "state": "optimized geometry", "lattice_angstrom": [[-3.1702, 2.4155, 2.9779], [-3.6013, -7.5516, 2.2914], [5.8590, -0.7234, 6.8243]], "species": ["Na", "Na", "Na", "Na", "Na", "Na", "Na", "Na", "Na", "Na", "Na", "Na", "Rh", "Rh", "Rh", "Rh"], "frac_coords": [[0.2500, 0.8969, 0.5740], [0.2500, 0.6031, 0.0740], [0.7500, 0.1031, 0.4260], [0.7500, 0.3969, 0.9260], [0.2500, 0.9388, 0.9161], [0.2500, 0.5612, 0.4161], [0.7500, 0.0612, 0.0839], [0.7500, 0.4388, 0.5839], [0.2500, 0.2487, 0.7167], [0.2500, 0.2513, 0.2167], [0.7500, 0.7513, 0.2833], [0.7500, 0.7487, 0.7833], [0.2500, 0.5814, 0.7473], [0.2500, 0.9186, 0.2473], [0.7500, 0.4186, 0.2527], [0.7500, 0.0814, 0.7527]], "spacegroup": "Pnma, No. 62", "e_form_ev_per_atom": 0.3629}

=====

| no. | magnetic moment (μB per cell) |
| --- | --- |
| 1 | 0.0 |
| 2 | 2.0 |
| 3 | 0.0 |
| 4 | 0.0 |
| 5 | 0.0 |
| 6 | 2.0 |
| 7 | 0.0 |
| 8 | 0.9 |